Computed, not measured: a relaxed structure of CaYTeCl2 at the PBE level of DFT.

Results
The value obtained for the magnetization is 0.20 μB/atom. The formation energy without anion corrections is -1.16 eV/atom.

Cell: 4.9293 8.7659 4.9293 Å, 90.00 90.00 90.00°
Closest atoms and distances in Å follow each position.
Sites, in units of the cell vectors:
Cl 0.0000 0.0000 0.5000  2 Ca 2.46
Y 0.0000 0.5000 0.0000  4 Te 3.49
Ca 0.0000 0.0000 0.0000  4 Cl 2.46
Cl 0.5000 0.0000 0.0000  2 Ca 2.46
Te 0.5000 0.5000 0.5000  4 Y 3.49